Model a:
This record from the Alexandria database describes a geometry-optimized Tb3GaRh3 structure. The functional is PBE.

The value obtained for the magnetization is 0.00 μB per cell.

The structure belongs to space group P6_3/m (No. 176); the cell edges are 8.1599, 8.1599 and 5.4161 Å and the angles 90.00°, 90.00° and 120.00°. The inequivalent atoms are Tb at (0.0752, 0.4068, 0.2500), Ga at (0.3333, 0.6667, 0.7500) and Rh at (0.0682, 0.3176, 0.7500).


Model b:
This record from the Alexandria database describes a geometry-optimized Tb3GaRh3 structure. The functional is PBE.

The value obtained for the magnetization is 0.00 μB per cell.

The structure belongs to space group Cmcm (No. 63); the cell edges are 4.116, 10.379 and 13.613 Å and the angles 90.00°, 90.00° and 90.00°. The inequivalent atoms are Tb at (0.000, 0.023, 0.250), Tb at (0.000, 0.300, 0.106), Ga at (0.000, 0.000, 0.000), Rh at (0.000, 0.252, 0.750) and Rh at (0.000, 0.415, 0.589).


We find model b to be the most stable, with the next structure 0.299 eV/atom higher.


Model a:
This record from the Alexandria database describes a geometry-optimized Ga2Tc2Rh structure. The functional is PBE.

The value obtained for the magnetization is 0.00 μB per cell.

The structure belongs to space group I4/mmm (No. 139); the cell edges are 3.502, 3.502 and 13.118 Å and the angles 90.00°, 90.00° and 90.00°. The inequivalent atoms are Ga at (0.000, 0.000, 0.095), Tc at (0.000, 0.500, 0.250) and Rh at (0.000, 0.000, 0.500).


Model b:
This record from the Alexandria database describes a geometry-optimized Ga2Tc2Rh structure. The functional is PBE.

The value obtained for the magnetization is 0.00 μB per cell.

The structure belongs to space group P4/mbm (No. 127); the cell edges are 7.252, 7.252 and 2.924 Å and the angles 90.00°, 90.00° and 90.00°. The inequivalent atoms are Ga at (0.181, 0.319, 0.000), Tc at (0.116, 0.616, 0.500) and Rh at (0.000, 0.000, 0.500).


We find model b to be the most stable, with the next structure 0.132 eV/atom higher.